Entry 1:
HfAsHPd2: relaxed, PBE.

The structure belongs to space group P4/mmm (No. 123); the cell edges are 3.9042, 3.9042 and 4.6118 Å and the angles 90.00°, 90.00° and 90.00°. The distinct sites, in fractional coordinates, are Hf at (0.0000, 0.0000, 0.0000), As at (0.5000, 0.5000, 0.0000), H at (0.0000, 0.0000, 0.5000) and Pd at (0.0000, 0.5000, 0.5000).

As for the total magnetization: 0.0 μB/f.u. The total energy comes out at -6.190 eV/atom.


Entry 2:
HfReAsH2: relaxed, PBE.

The structure belongs to space group P4/mmm (No. 123); the cell edges are 3.6109, 3.6109 and 5.3617 Å and the angles 90.00°, 90.00° and 90.00°. The distinct sites, in fractional coordinates, are Hf at (0.0000, 0.0000, 0.0000), Re at (0.5000, 0.5000, 0.5000), As at (0.0000, 0.0000, 0.5000) and H at (0.0000, 0.5000, 0.0000).

As for the total magnetization: 0.6 μB/f.u. The total energy comes out at -6.227 eV/atom.


Entry 3:
HfAsHRh2: relaxed, PBE.

The structure belongs to space group P4/mmm (No. 123); the cell edges are 3.9576, 3.9576 and 4.2363 Å and the angles 90.00°, 90.00° and 90.00°. The distinct sites, in fractional coordinates, are Hf at (0.0000, 0.0000, 0.0000), As at (0.5000, 0.5000, 0.0000), H at (0.0000, 0.0000, 0.5000) and Rh at (0.0000, 0.5000, 0.5000).

As for the total magnetization: 0.0 μB/f.u. The total energy comes out at -7.003 eV/atom.


Entry 4:
HfAsHRh2: relaxed, PBE.

The structure belongs to space group P4/mmm (No. 123); the cell edges are 4.8302, 4.8302 and 5.1645 Å and the angles 90.00°, 90.00° and 90.00°. The distinct sites, in fractional coordinates, are Hf at (0.0000, 0.0000, 0.0000), As at (0.0000, 0.0000, 0.5000), H at (0.5000, 0.5000, 0.5000) and Rh at (0.0000, 0.5000, 0.0000).

As for the total magnetization: 1.4 μB/f.u. The total energy comes out at -5.186 eV/atom.


Entry 5:
Hf2AsHSe: relaxed, PBE.

The structure belongs to space group P4/mmm (No. 123); the cell edges are 4.9591, 4.9591 and 4.9568 Å and the angles 90.00°, 90.00° and 90.00°. The distinct sites, in fractional coordinates, are Hf at (0.0000, 0.5000, 0.0000), As at (0.0000, 0.0000, 0.5000), H at (0.5000, 0.5000, 0.5000) and Se at (0.0000, 0.0000, 0.0000).

As for the total magnetization: 0.0 μB/f.u. The total energy comes out at -5.230 eV/atom.


Entry 6:
HfAsHSe2: relaxed, PBE.

The structure belongs to space group P4/mmm (No. 123); the cell edges are 4.8643, 4.8643 and 3.4521 Å and the angles 90.00°, 90.00° and 90.00°. The distinct sites, in fractional coordinates, are Hf at (0.0000, 0.0000, 0.0000), As at (0.5000, 0.5000, 0.0000), H at (0.5000, 0.5000, 0.5000) and Se at (0.0000, 0.5000, 0.5000).

As for the total magnetization: 0.0 μB/f.u. The total energy comes out at -4.910 eV/atom.


Entry 7:
HfAsHSe2: relaxed, PBE.

The structure belongs to space group P4/mmm (No. 123); the cell edges are 5.1552, 5.1552 and 5.2869 Å and the angles 90.00°, 90.00° and 90.00°. The distinct sites, in fractional coordinates, are Hf at (0.0000, 0.0000, 0.0000), As at (0.0000, 0.0000, 0.5000), H at (0.5000, 0.5000, 0.5000) and Se at (0.0000, 0.5000, 0.0000).

As for the total magnetization: 0.1 μB/f.u. The total energy comes out at -4.729 eV/atom.


Entry 8:
HfTcAsH2: relaxed, PBE.

The structure belongs to space group Cmcm (No. 63); the cell edges are 3.8983, 9.3467 and 6.1290 Å and the angles 90.00°, 90.00° and 90.00°. The distinct sites, in fractional coordinates, are Hf at (0.0000, 0.2215, 0.2500), Tc at (0.0000, 0.5000, 0.0000), As at (0.0000, 0.0706, 0.7500) and H at (0.0000, 0.3141, 0.5637).

As for the total magnetization: 0.0 μB/f.u. The total energy comes out at -6.701 eV/atom.


Entry 9:
HfTe2AsH: relaxed, PBE.

The structure belongs to space group P4/mmm (No. 123); the cell edges are 5.5647, 5.5647 and 5.1919 Å and the angles 90.00°, 90.00° and 90.00°. The distinct sites, in fractional coordinates, are Hf at (0.0000, 0.0000, 0.0000), Te at (0.0000, 0.5000, 0.0000), As at (0.0000, 0.0000, 0.5000) and H at (0.5000, 0.5000, 0.5000).

As for the total magnetization: 1.0 μB/f.u. The total energy comes out at -4.434 eV/atom.


Entry 10:
HfTe2AsH: relaxed, PBE.

The structure belongs to space group P4/mmm (No. 123); the cell edges are 5.5950, 5.5950 and 5.0146 Å and the angles 90.00°, 90.00° and 90.00°. The distinct sites, in fractional coordinates, are Hf at (0.0000, 0.0000, 0.0000), Te at (0.0000, 0.5000, 0.5000), As at (0.0000, 0.0000, 0.5000) and H at (0.5000, 0.5000, 0.0000).

As for the total magnetization: 1.4 μB/f.u. The total energy comes out at -3.886 eV/atom.


Entry 11:
YHf2AsH: relaxed, PBE.

The structure belongs to space group P4/mmm (No. 123); the cell edges are 4.2058, 4.2058 and 5.1696 Å and the angles 90.00°, 90.00° and 90.00°. The distinct sites, in fractional coordinates, are Y at (0.0000, 0.0000, 0.0000), Hf at (0.0000, 0.5000, 0.5000), As at (0.5000, 0.5000, 0.0000) and H at (0.5000, 0.5000, 0.5000).

As for the total magnetization: 0.0 μB/f.u. The total energy comes out at -7.187 eV/atom.


Entry 12:
Hg2AsH: relaxed, PBE.

The structure belongs to space group Fm-3m (No. 225); the cell edges are 6.7194, 6.7194 and 6.7194 Å and the angles 90.00°, 90.00° and 90.00°. The distinct sites, in fractional coordinates, are Hg at (0.2500, 0.2500, 0.2500), As at (0.0000, 0.0000, 0.0000) and H at (0.0000, 0.0000, 0.5000).

As for the total magnetization: 0.3 μB/f.u. The total energy comes out at -1.501 eV/atom.


Entry 13:
HgAsH2: relaxed, PBE.

The structure belongs to space group I4_1/amd (No. 141, origin choice 2); the cell edges are 5.7597, 5.7597 and 8.1227 Å and the angles 90.00°, 90.00° and 90.00°. The distinct sites, in fractional coordinates, are Hg at (0.0000, 0.2500, 0.3750), As at (0.0000, 0.2500, 0.8750) and H at (0.0000, 0.0000, 0.0000).

As for the total magnetization: 0.0 μB/f.u. The total energy comes out at -2.545 eV/atom.


Entry 14:
Hg4AsH2: relaxed, PBE.

The structure belongs to space group I4/mmm (No. 139); the cell edges are 5.8177, 5.8177 and 10.9105 Å and the angles 90.00°, 90.00° and 90.00°. The distinct sites, in fractional coordinates, are Hg at (0.0000, 0.0000, 0.2438), Hg at (0.0000, 0.5000, 0.0000), As at (0.0000, 0.0000, 0.5000) and H at (0.0000, 0.0000, 0.0367).

As for the total magnetization: 0.0 μB/f.u. The total energy comes out at -1.572 eV/atom.


Entry 15:
Hg2AsH: relaxed, PBE.

The structure belongs to space group I-42d (No. 122); the cell edges are 5.1104, 5.1104 and 12.8671 Å and the angles 90.00°, 90.00° and 90.00°. The distinct sites, in fractional coordinates, are Hg at (0.1735, 0.2500, 0.1250), As at (0.0000, 0.0000, 0.5000) and H at (0.0000, 0.0000, 0.0000).

As for the total magnetization: 0.0 μB/f.u. The total energy comes out at -1.754 eV/atom.


Entry 16:
Hg3AsH: relaxed, PBE.

The structure belongs to space group Pm (No. 6); the cell edges are 4.0821, 10.0215 and 5.7036 Å and the angles 90.00°, 90.26° and 90.00°. The distinct sites, in fractional coordinates, are Hg at (0.0000, 0.0000, 0.0000), Hg at (0.0012, 0.2802, 0.5026), Hg at (0.4993, 0.5000, 0.5026), Hg at (0.5021, 0.2199, 0.0020), As at (0.4953, 0.5000, 0.0027), As at (0.9963, 0.0000, 0.5002), H at (0.1155, 0.5000, 0.0011) and H at (0.6166, 0.0000, 0.4984).

As for the total magnetization: 0.0 μB/f.u. The total energy comes out at -1.653 eV/atom.


Entry 17:
HgAs2H: relaxed, PBE.

The structure belongs to space group Fm-3m (No. 225); the cell edges are 6.5519, 6.5519 and 6.5519 Å and the angles 90.00°, 90.00° and 90.00°. The distinct sites, in fractional coordinates, are Hg at (0.0000, 0.0000, 0.0000), As at (0.2500, 0.2500, 0.2500) and H at (0.0000, 0.0000, 0.5000).

As for the total magnetization: 0.0 μB/f.u. The total energy comes out at -2.414 eV/atom.


Entry 18:
HgAs3H: relaxed, PBE.

The structure belongs to space group Pm-3m (No. 221); the cell edges are 4.4331, 4.4331 and 4.4331 Å and the angles 90.00°, 90.00° and 90.00°. The distinct sites, in fractional coordinates, are Hg at (0.0000, 0.0000, 0.0000), As at (0.0000, 0.5000, 0.5000) and H at (0.5000, 0.5000, 0.5000).

As for the total magnetization: 0.0 μB/f.u. The total energy comes out at -2.870 eV/atom.


Entry 19:
HgAs2H: relaxed, PBE.

The structure belongs to space group P2_1/m (No. 11); the cell edges are 3.7275, 5.8835 and 8.7458 Å and the angles 90.00°, 98.29° and 90.00°. The distinct sites, in fractional coordinates, are Hg at (0.0329, 0.2500, 0.0851), As at (0.2161, 0.5320, 0.4047) and H at (0.4715, 0.7500, 0.9267).

As for the total magnetization: 0.0 μB/f.u. The total energy comes out at -3.053 eV/atom.


Entry 20:
HgAs3H: relaxed, PBE.

The structure belongs to space group Pm-3m (No. 221); the cell edges are 5.2754, 5.2754 and 5.2754 Å and the angles 90.00°, 90.00° and 90.00°. The distinct sites, in fractional coordinates, are Hg at (0.0000, 0.0000, 0.0000), As at (0.0000, 0.0000, 0.5000) and H at (0.5000, 0.5000, 0.5000).

As for the total magnetization: 1.1 μB/f.u. The total energy comes out at -2.010 eV/atom.


Entry 21:
HgAsH: relaxed, PBE.

The structure belongs to space group Pnma (No. 62); the cell edges are 8.0150, 7.4106 and 4.7035 Å and the angles 90.00°, 90.00° and 90.00°. The distinct sites, in fractional coordinates, are Hg at (0.0000, 0.0000, 0.0000), As at (0.0463, 0.2500, 0.3766) and H at (0.1425, 0.7500, 0.5518).

As for the total magnetization: 0.0 μB/f.u. The total energy comes out at -2.682 eV/atom.


Entry 22:
Hg3AsH: relaxed, PBE.

The structure belongs to space group Pm-3m (No. 221); the cell edges are 4.6157, 4.6157 and 4.6157 Å and the angles 90.00°, 90.00° and 90.00°. The distinct sites, in fractional coordinates, are Hg at (0.0000, 0.0000, 0.5000), As at (0.5000, 0.5000, 0.5000) and H at (0.0000, 0.0000, 0.0000).

As for the total magnetization: 0.0 μB/f.u. The total energy comes out at -1.232 eV/atom.


Entry 23:
HgAsH2: relaxed, PBE.

The structure belongs to space group Fm-3m (No. 225); the cell edges are 5.8431, 5.8431 and 5.8431 Å and the angles 90.00°, 90.00° and 90.00°. The distinct sites, in fractional coordinates, are Hg at (0.0000, 0.0000, 0.0000), As at (0.0000, 0.0000, 0.5000) and H at (0.2500, 0.2500, 0.2500).

As for the total magnetization: 0.0 μB/f.u. The total energy comes out at -1.965 eV/atom.


Entry 24:
HgAs2H: relaxed, PBE.

The structure belongs to space group I-42d (No. 122); the cell edges are 4.7720, 4.7720 and 13.6138 Å and the angles 90.00°, 90.00° and 90.00°. The distinct sites, in fractional coordinates, are Hg at (0.0000, 0.0000, 0.0000), As at (0.1143, 0.2500, 0.6250) and H at (0.0000, 0.0000, 0.5000).

As for the total magnetization: 0.0 μB/f.u. The total energy comes out at -2.775 eV/atom.


Entry 25:
HgAsH: relaxed, PBE.

The structure belongs to space group C2/m (No. 12); the cell edges are 8.6489, 3.5572 and 8.7925 Å and the angles 90.00°, 119.38° and 90.00°. The distinct sites, in fractional coordinates, are Hg at (0.0568, 0.0000, 0.3794), As at (0.1450, 0.0000, 0.1312) and H at (0.1778, 0.5000, 0.1305).

As for the total magnetization: 0.0 μB/f.u. The total energy comes out at -2.531 eV/atom.


Entry 26:
Hg2AsH2: relaxed, PBE.

The structure belongs to space group I4/mmm (No. 139); the cell edges are 3.4082, 3.4082 and 13.2826 Å and the angles 90.00°, 90.00° and 90.00°. The distinct sites, in fractional coordinates, are Hg at (0.0000, 0.0000, 0.1444), As at (0.0000, 0.0000, 0.5000) and H at (0.0000, 0.5000, 0.2500).

As for the total magnetization: 0.0 μB/f.u. The total energy comes out at -1.748 eV/atom.


Entry 27:
HgAs2H2: relaxed, PBE.

The structure belongs to space group P-1 (No. 2); the cell edges are 2.8594, 4.4797 and 8.0283 Å and the angles 92.17°, 96.79° and 108.15°. The distinct sites, in fractional coordinates, are Hg at (0.0000, 0.0000, 0.0000), As at (0.3748, 0.3387, 0.3566) and H at (0.4952, 0.6468, 0.2656).

As for the total magnetization: 0.0 μB/f.u. The total energy comes out at -3.117 eV/atom.